Below is a relaxed structure of MnCoRhO4, with properties calculated at the GGA+U level.

```
MnCoRhO4
1.0
-4.5363 1.9755 3.0693
2.8125 -0.8657 4.7140
3.1351 4.6582 -1.0150
Mn Co Rh O
2 2 2 8
Direct
0.7966 0.7500 0.9520
0.2034 0.2500 0.0480
0.8681 0.7500 0.4805
0.1319 0.2500 0.5195
0.3176 0.7500 0.3144
0.6824 0.2500 0.6856
0.9535 0.4784 0.7410
0.0465 0.9784 0.2590
0.0465 0.5216 0.2590
0.9535 0.0216 0.7410
0.5933 0.7500 0.1896
0.4067 0.2500 0.8104
0.5565 0.7500 0.6154
0.4435 0.2500 0.3846
```

Properties
M_tot	13.925	μB/cell
VASP energy	-6.378	eV per atom
DOS(E_F)	0.42	states/eV/atom
crystal system	monoclinic